! PBE BaBrCl2, relaxed; values from VASP
&SYSTEM
  ibrav = 0, nat = 4, ntyp = 3
/
ATOMIC_SPECIES
Ba 137.33 Ba.upf
Br 79.90 Br.upf
Cl 35.45 Cl.upf
CELL_PARAMETERS angstrom
5.253 0.000 0.000
0.000 5.682 0.000
-2.601 0.000 4.808
ATOMIC_POSITIONS crystal
Ba 0.000 0.000 0.000
Br 0.592 0.500 0.800
Cl 0.111 0.500 0.293
Cl 0.671 0.000 0.347
! distance to the lowest polymorph of the same formula: 0.00 kJ/mol of atoms
! symmetry: Pm (6)
! magnetic moment: 0.00 μB/f.u.
! crystal system: monoclinic
! raw formation energy: -1.704 eV per atom
! N(E_F): 2.10 states/eV/f.u.